# TbEr12Sc6

A geometry-optimized TbEr12Sc6 structure (PBE, the Alexandria database).

a b c (Å): 8.9796 8.9796 8.9796
angles (deg): 107.56 107.56 107.56
Last column: nearest neighbours and their distance in Å.
Fractional positions:
Tb (0.0000, 0.0000, 0.0000)  6 Er 3.45
Er (0.1122, 0.5000, 0.8878)  4 Sc 3.18-3.29, 5 Er 3.25-3.54
Er (0.1122, 0.8878, 0.5000)  4 Sc 3.18-3.29, 5 Er 3.25-3.54
Er (0.1456, 0.3705, 0.3705)  1 Sc 2.96, 2 Er 3.26
Er (0.3705, 0.1456, 0.3705)  1 Sc 2.96, 2 Er 3.26
Er (0.3705, 0.3705, 0.1456)  1 Sc 2.96, 2 Er 3.26
Er (0.5000, 0.1122, 0.8878)  4 Sc 3.18-3.29, 5 Er 3.25-3.54
Er (0.5000, 0.8878, 0.1122)  4 Sc 3.18-3.29, 5 Er 3.25-3.54
Er (0.6295, 0.6295, 0.8544)  1 Sc 2.96, 2 Er 3.26
Er (0.6295, 0.8544, 0.6295)  1 Sc 2.96, 2 Er 3.26
Er (0.8544, 0.6295, 0.6295)  1 Sc 2.96, 2 Er 3.26
Er (0.8878, 0.1122, 0.5000)  4 Sc 3.18-3.29, 5 Er 3.25-3.54
Er (0.8878, 0.5000, 0.1122)  4 Sc 3.18-3.29, 5 Er 3.25-3.54
Sc (0.2755, 0.6888, 0.6888)  5 Er 2.96-3.29
Sc (0.3112, 0.3112, 0.7245)  5 Er 2.96-3.29
Sc (0.3112, 0.7245, 0.3112)  5 Er 2.96-3.29
Sc (0.6888, 0.2755, 0.6888)  5 Er 2.96-3.29
Sc (0.6888, 0.6888, 0.2755)  5 Er 2.96-3.29
Sc (0.7245, 0.3112, 0.3112)  5 Er 2.96-3.29

Computed properties:
The density of states at the Fermi level is 27.020 states/eV/cell. The energy relative to the elements is 0.436 eV/atom. Its electronic total energy is -89.09 eV/cell.